Entry from Alexandria via LeMat-Bulk: a relaxed structure of KOsClO4 (PBE).

Calculated values
V in Å³/cell: 352
E in hartree per atom: -0.22248
ΔE_f (raw) in eV/atom: -1.20
SG: C2/m

a = 6.6503 Å, b = 6.6503 Å, c = 8.2882 Å
α = 80.53°, β = 80.53°, γ = 79.03°
Closest atoms and distances in Å follow each position.
Sites, in units of the cell vectors:
K 0.1874 0.1874 0.8226  4 O 2.81-2.89, 2 Cl 3.07-3.09
K 0.8126 0.8126 0.1774  4 O 2.81-2.89, 2 Cl 3.07-3.09
Os 0.6340 0.6340 0.7294  4 O 1.73-1.74
Os 0.3660 0.3660 0.2706  4 O 1.73-1.74
Cl 0.1067 0.1067 0.2035  1 Os 2.83, 3 O 2.96-3.02, 2 K 3.07-3.09
Cl 0.8933 0.8933 0.7965  1 Os 2.83, 3 O 2.96-3.02, 2 K 3.07-3.09
O 0.2680 0.2680 0.4683  1 Os 1.73
O 0.7320 0.7320 0.5317  1 Os 1.73
O 0.1893 0.5349 0.1593  1 Os 1.73
O 0.5276 0.5276 0.3042  1 Os 1.74
O 0.4651 0.8107 0.8407  1 Os 1.73
O 0.5349 0.1893 0.1593  1 Os 1.73
O 0.4724 0.4724 0.6958  1 Os 1.74
O 0.8107 0.4651 0.8407  1 Os 1.73